The following is a DFT calculation (PBE) of a relaxed structure of CeInGa4.

The structure in POSCAR format:
```
CeInGa4
1.0
-0.403 -0.994 5.534
-3.687 -3.808 1.919
1.842 -4.885 2.128
Ga Ce In
4 1 1
Cartesian
-2.325 -3.613 4.924
0.438 -4.151 5.029
-1.405 -6.053 5.987
-1.204 -5.557 3.222
-0.562 -2.422 2.395
0.000 0.000 0.000
```

## Properties
The value obtained for the total energy is -22.0 eV/cell. The value obtained for the formation enthalpy at 0 K is -209 meV/atom. The size of the total moment comes out at 1.39 μB per cell.

The following is a DFT calculation (PBE) of a relaxed structure of Ac2InSb.

The structure in POSCAR format:
```
Ac2InSb
1.0
-2.938 2.424 1.852
-2.614 -0.676 -3.263
-2.839 -6.154 3.550
Sb Ac In
1 2 1
Cartesian
-4.196 -2.203 1.070
-2.104 -4.561 2.631
-0.735 -1.593 0.919
-2.776 0.874 -0.705
```

## Properties
Its offset from the most stable computed form is 107 meV/atom. The value obtained for the total energy is -17.9 eV/cell. The size of the total moment comes out at 0.00 μB per cell. The energy relative to the elements, uncorrected comes out at -696 meV per atom.

The following is a DFT calculation (PBE) of a relaxed structure of LaPr4Nd3Se8.

The structure in POSCAR format:
```
LaPr4Nd3Se8
1.0
8.518 0.000 0.000
0.000 8.522 -0.001
-4.259 -4.253 6.025
La Pr Nd Se
1 4 3 8
Cartesian
0.000 4.261 -0.001
4.259 0.000 0.000
2.129 -2.127 3.013
0.000 0.000 0.000
-2.129 -2.127 3.013
4.259 4.261 -0.001
2.129 2.134 3.012
-2.129 2.134 3.012
-2.119 2.133 6.010
0.000 4.246 3.020
0.000 0.019 3.028
2.119 2.133 6.010
2.140 2.136 0.014
4.259 4.249 2.996
4.259 0.022 3.004
6.377 2.136 0.014
```

## Properties
The value obtained for the total energy is -96.0 eV/cell. The size of the total moment comes out at 0.00 μB per cell. The energy relative to the elements, uncorrected comes out at -1860 meV per atom.

The following is a DFT calculation (PBE) of a relaxed structure of LiPu2InTe4.

The structure in POSCAR format:
```
LiPu2InTe4
1.0
-1.375 4.205 0.803
-6.328 -4.248 -1.180
-0.734 -3.172 15.348
Li Pu In Te
2 4 2 8
Cartesian
-6.006 -1.734 11.383
-2.431 -1.480 3.587
-5.562 -3.361 8.073
-2.600 1.331 1.166
-2.874 0.147 6.897
-5.836 -4.546 13.805
-2.151 -2.869 11.333
-6.286 -0.346 3.638
-3.871 -1.513 1.294
-4.362 -0.824 9.433
-4.565 -1.701 13.676
-4.074 -2.390 5.538
-0.367 -1.586 7.674
0.000 0.000 0.000
-6.760 -4.278 10.821
-1.676 1.063 4.149
```

## Properties
The value obtained for the total energy is -105.1 eV/cell. The size of the total moment comes out at 19.99 μB per cell. The energy relative to the elements, uncorrected comes out at -832 meV per atom.